Entry 1:
Compound: Cs2Hg2H7
Source: Alexandria via LeMat-Bulk
Functional: PBE
Structure: relaxed

## Properties
Its density of states at the Fermi level is 2.668 states/eV/cell. For the total energy, the calculation gives -2.30 eV/atom. For the magnetization, the calculation gives 0.000 μB per formula unit. The symmetry is C2/m, No. 12.

a = 6.050 Å, b = 10.897 Å, c = 10.897 Å
α = 96.94°, β = 127.32°, γ = 127.32°
Atoms (fractional coordinates):
H 0.946 0.499 0.956
H 0.054 0.044 0.501
H 0.054 0.501 0.044
Cs 0.000 0.872 0.128
H 0.471 0.283 0.283
H 0.529 0.717 0.717
H 0.500 0.000 0.000
Cs 0.000 0.128 0.872
H 0.946 0.956 0.499
Hg 0.698 0.663 0.663
Hg 0.302 0.337 0.337

Entry 2:
Compound: KSi
Source: Alexandria via LeMat-Bulk
Functional: PBE
Structure: relaxed

## Properties
Its density of states at the Fermi level is 4.223 states/eV/cell. For the magnetization, the calculation gives 1.166 μB per formula unit. The symmetry is P6_3/mmc, No. 194. For the formation energy from raw total energies, the calculation gives 1202 meV/atom.

a = 5.105 Å, b = 5.105 Å, c = 6.963 Å
α = 90.00°, β = 90.00°, γ = 120.00°
Atoms (fractional coordinates):
K 0.000 0.000 0.500
Si 0.333 0.667 0.250
Si 0.667 0.333 0.750
K 0.000 0.000 0.000

Entry 3:
Compound: MnPSeCl2
Source: Alexandria via LeMat-Bulk
Functional: PBE
Structure: relaxed

## Properties
Its density of states at the Fermi level is 6.812 states/eV/cell. For the magnetization, the calculation gives 0.015 μB per formula unit. The symmetry is P4/mmm, No. 123. For the formation energy from raw total energies, the calculation gives 329 meV/atom.

a = 4.374 Å, b = 4.374 Å, c = 4.892 Å
α = 90.00°, β = 90.00°, γ = 90.00°
Atoms (fractional coordinates):
Cl 0.500 0.000 0.000
P 0.000 0.000 0.500
Cl 0.000 0.500 0.000
Mn 0.000 0.000 0.000
Se 0.500 0.500 0.500